A relaxed structure of InPPd2Rh. Source: the Alexandria database, functional PBE.

a = 4.397 Å, b = 4.994 Å, c = 4.397 Å
α = 90.00°, β = 90.00°, γ = 90.00°
Element x y z (fractional)
P 0.000 0.000 0.000
Rh 0.500 0.500 0.500
Pd 0.000 0.000 0.500
Pd 0.500 0.000 0.000
In 0.000 0.500 0.000

Properties
The symmetry is P4/mmm (123). Its calculated volume is 19.315 Å³ per atom. The total energy comes out at -4.86 eV/atom. Its formation energy from the elements is 0.319 eV per atom. The value obtained for the total magnetization is 0.0 μB/cell.

A relaxed structure of InP2PdRu. Source: the Alexandria database, functional PBE.

a = 4.815 Å, b = 4.815 Å, c = 4.986 Å
α = 90.00°, β = 90.00°, γ = 90.00°
Site moments in Bohr magnetons follow the coordinates.
Element x y z (fractional)
Ru 0.000 0.000 0.500  1.74
P 0.000 0.500 0.000  -0.03
P 0.500 0.000 0.000  -0.03
Pd 0.500 0.500 0.500  0.09
In 0.000 0.000 0.000  -0.03

Properties
The symmetry is P4/mmm (123). Its calculated volume is 23.124 Å³ per atom. The total energy comes out at -3.91 eV/atom. Its formation energy from the elements is 1.697 eV per atom. The value obtained for the total magnetization is 1.8 μB/cell.

A relaxed structure of InP2PdS. Source: the Alexandria database, functional PBE.

a = 4.996 Å, b = 4.996 Å, c = 4.941 Å
α = 90.00°, β = 90.00°, γ = 90.00°
Element x y z (fractional)
P 0.000 0.500 0.000
P 0.500 0.000 0.000
S 0.000 0.000 0.500
Pd 0.500 0.500 0.500
In 0.000 0.000 0.000

Properties
The symmetry is P4/mmm (123). Its formation energy (no corrections) is 1.24 eV/atom. Its calculated volume is 24.662 Å³ per atom. The calculation puts the energy relative to the lowest polymorph listed for this composition at 0.701 eV per atom. The total energy comes out at -3.33 eV/atom. The value obtained for the total magnetization is 0.0 μB/cell.

A relaxed structure of InPPdS2. Source: the Alexandria database, functional PBE.

a = 4.985 Å, b = 4.985 Å, c = 4.429 Å
α = 90.00°, β = 90.00°, γ = 90.00°
Element x y z (fractional)
P 0.000 0.000 0.500
S 0.000 0.500 0.000
S 0.500 0.000 0.000
Pd 0.000 0.000 0.000
In 0.500 0.500 0.500

Properties
The symmetry is P4/mmm (123). Its formation energy (no corrections) is 0.39 eV/atom. Its calculated volume is 22.016 Å³ per atom. The calculation puts the energy relative to the lowest polymorph listed for this composition at 0.000 eV per atom. The total energy comes out at -3.93 eV/atom. The value obtained for the total magnetization is 0.0 μB/cell.

A relaxed structure of InP2PdS. Source: the Alexandria database, functional PBE.

a = 4.665 Å, b = 4.665 Å, c = 5.065 Å
α = 90.00°, β = 90.00°, γ = 90.00°
Site moments in Bohr magnetons follow the coordinates.
Element x y z (fractional)
P 0.000 0.500 0.000  0.15
P 0.500 0.000 0.000  0.15
S 0.000 0.000 0.500  0.05
Pd 0.000 0.000 0.000  0.06
In 0.500 0.500 0.500  0.00

Properties
The symmetry is P4/mmm (123). Its formation energy (no corrections) is 0.54 eV/atom. Its calculated volume is 22.047 Å³ per atom. The calculation puts the energy relative to the lowest polymorph listed for this composition at 0.000 eV per atom. The total energy comes out at -4.04 eV/atom. The value obtained for the total magnetization is 0.8 μB/cell.

A relaxed structure of InPPdS2. Source: the Alexandria database, functional PBE.

a = 4.966 Å, b = 4.966 Å, c = 5.048 Å
α = 90.00°, β = 90.00°, γ = 90.00°
Site moments in Bohr magnetons follow the coordinates.
Element x y z (fractional)
P 0.000 0.000 0.500  0.20
S 0.000 0.500 0.000  0.09
S 0.500 0.000 0.000  0.09
Pd 0.500 0.500 0.500  0.10
In 0.000 0.000 0.000  0.00

Properties
The symmetry is P4/mmm (123). Its formation energy (no corrections) is 1.03 eV/atom. Its calculated volume is 24.896 Å³ per atom. The calculation puts the energy relative to the lowest polymorph listed for this composition at 0.641 eV per atom. The total energy comes out at -3.29 eV/atom. The value obtained for the total magnetization is 0.8 μB/cell.

A relaxed structure of InSb2P2Pd7. Source: the Alexandria database, functional PBE.

a = 3.919 Å, b = 3.919 Å, c = 15.106 Å
α = 82.52°, β = 82.52°, γ = 90.03°
Element x y z (fractional)
In 0.000 0.000 0.000
Sb 0.787 0.787 0.425
Sb 0.213 0.213 0.575
P 0.618 0.618 0.767
P 0.382 0.382 0.233
Pd 0.500 0.500 0.000
Pd 0.304 0.304 0.391
Pd 0.696 0.696 0.609
Pd 0.926 0.425 0.146
Pd 0.425 0.926 0.146
Pd 0.575 0.074 0.854
Pd 0.074 0.575 0.854

Properties
The symmetry is C2/m (12). Its formation energy (no corrections) is -0.42 eV/atom. Its calculated volume is 19.001 Å³ per atom. The total energy comes out at -5.27 eV/atom. The value obtained for the total magnetization is 0.0 μB/cell.

A relaxed structure of SmIn2P2Pd7. Source: the Alexandria database, functional PBE.

a = 4.061 Å, b = 4.061 Å, c = 13.779 Å
α = 81.43°, β = 81.43°, γ = 89.91°
Element x y z (fractional)
Sm 0.000 0.000 0.000
In 0.891 0.891 0.383
In 0.109 0.109 0.617
P 0.623 0.623 0.744
P 0.377 0.377 0.256
Pd 0.500 0.500 0.000
Pd 0.370 0.370 0.425
Pd 0.630 0.630 0.575
Pd 0.918 0.413 0.164
Pd 0.413 0.918 0.164
Pd 0.587 0.082 0.836
Pd 0.082 0.587 0.836

Properties
The symmetry is C2/m (12). Its calculated volume is 18.511 Å³ per atom. The total energy comes out at -5.28 eV/atom. Its formation energy from the elements is -0.504 eV per atom. The value obtained for the total magnetization is 0.0 μB/cell.

A relaxed structure of TbIn2P2Pd7. Source: the Alexandria database, functional PBE.

a = 4.038 Å, b = 4.038 Å, c = 13.762 Å
α = 81.50°, β = 81.50°, γ = 89.89°
Element x y z (fractional)
Tb 0.000 0.000 0.000
In 0.891 0.891 0.382
In 0.109 0.109 0.618
P 0.623 0.623 0.745
P 0.377 0.377 0.255
Pd 0.500 0.500 0.000
Pd 0.369 0.369 0.424
Pd 0.631 0.631 0.576
Pd 0.919 0.415 0.162
Pd 0.415 0.919 0.162
Pd 0.585 0.081 0.838
Pd 0.081 0.585 0.838

Properties
The symmetry is C2/m (12). Its calculated volume is 18.291 Å³ per atom. The total energy comes out at -5.30 eV/atom. Its formation energy from the elements is -0.531 eV per atom. The value obtained for the total magnetization is 0.0 μB/cell.

A relaxed structure of ThIn2P2Pd7. Source: the Alexandria database, functional PBE.

a = 4.123 Å, b = 4.123 Å, c = 13.731 Å
α = 79.99°, β = 79.99°, γ = 90.11°
Element x y z (fractional)
Th 0.000 0.000 0.000
In 0.890 0.890 0.379
In 0.110 0.110 0.621
P 0.642 0.642 0.741
P 0.358 0.358 0.259
Pd 0.500 0.500 0.000
Pd 0.374 0.374 0.426
Pd 0.626 0.626 0.574
Pd 0.905 0.398 0.163
Pd 0.398 0.905 0.163
Pd 0.602 0.095 0.837
Pd 0.095 0.602 0.837

Properties
The symmetry is C2/m (12). Its calculated volume is 18.852 Å³ per atom. The total energy comes out at -5.51 eV/atom. Its formation energy from the elements is -0.503 eV per atom. The value obtained for the total magnetization is 0.0 μB/cell.

A relaxed structure of TmIn2P2Pd7. Source: the Alexandria database, functional PBE.

a = 4.018 Å, b = 4.018 Å, c = 13.740 Å
α = 81.59°, β = 81.59°, γ = 89.84°
Element x y z (fractional)
Tm 0.000 0.000 0.000
In 0.891 0.891 0.382
In 0.109 0.109 0.618
P 0.621 0.621 0.746
P 0.379 0.379 0.254
Pd 0.500 0.500 0.000
Pd 0.369 0.369 0.424
Pd 0.631 0.631 0.576
Pd 0.921 0.417 0.159
Pd 0.417 0.921 0.159
Pd 0.583 0.079 0.841
Pd 0.079 0.583 0.841

Properties
The symmetry is C2/m (12). Its calculated volume is 18.085 Å³ per atom. The total energy comes out at -5.31 eV/atom. Its formation energy from the elements is -0.554 eV per atom. The value obtained for the total magnetization is 0.0 μB/cell.

A relaxed structure of PmInP. Source: the Alexandria database, functional PBE.

a = 5.180 Å, b = 4.200 Å, c = 4.200 Å
α = 120.00°, β = 90.00°, γ = 90.00°
Element x y z (fractional)
P 0.999 0.000 0.000
In 0.733 0.667 0.333
Pm 0.268 0.333 0.667

Properties
The symmetry is P3m1 (156). Its calculated volume is 26.379 Å³ per atom. The calculation puts the energy relative to the lowest polymorph listed for this composition at 0.235 eV per atom. The total energy comes out at -4.83 eV/atom. Its formation energy from the elements is -0.532 eV per atom. The value obtained for the total magnetization is 0.0 μB/cell.

A relaxed structure of PmIn2P. Source: the Alexandria database, functional PBE.

a = 5.330 Å, b = 4.239 Å, c = 4.239 Å
α = 90.00°, β = 90.00°, γ = 90.00°
Element x y z (fractional)
P 0.500 0.500 0.500
In 0.000 0.000 0.500
In 0.000 0.500 0.000
Pm 0.500 0.000 0.000

Properties
The symmetry is P4/mmm (123). Its calculated volume is 23.942 Å³ per atom. The total energy comes out at -4.38 eV/atom. Its formation energy from the elements is -0.467 eV per atom. The value obtained for the total magnetization is 0.0 μB/cell.